{"formula": "Ca2MgZn", "functional": "meta-GGA SCAN", "state": "PBEsol geometry", "formation_energy_mev_per_atom": -145, "final_energy_ev_per_cell": -76.8, "relative_energy_mev_per_atom": 0.0, "lattice": [[3.586, 0.000, 0.000], [-1.793, 6.492, 0.000], [0.000, 0.000, 9.404]], "species": ["Ca", "Ca", "Ca", "Ca", "Mg", "Mg", "Zn", "Zn"], "frac_coords": [[0.368, 0.737, 0.440], [0.632, 0.263, 0.940], [0.368, 0.737, 0.060], [0.632, 0.263, 0.560], [0.061, 0.122, 0.250], [0.939, 0.878, 0.750], [0.728, 0.457, 0.250], [0.272, 0.543, 0.750]]}